1.
NaIn6Pb5 after structural relaxation, computed with GGA-PBE.

Lattice parameters (Å, degrees): 10.8249 14.5499 4.9303 90.00 116.45 90.00
Last column: nearest neighbours and their distance in Å.
Space group C2/m (No. 12)
One atom of each set of equivalent atoms:
Na 0.0000 0.0000 0.0000  8 In 3.41-3.47, 4 Pb 3.44
In 0.2475 0.1666 0.2451  7 Pb 3.40-3.50, 1 Na 3.41, 4 In 3.44-3.48
In 0.2500 0.0000 0.7474  6 Pb 3.41-3.49, 2 Na 3.45-3.47, 4 In 3.46
Pb 0.0000 0.1652 0.5000  8 In 3.41-3.46, 2 Na 3.44, 2 Pb 3.46
Pb 0.0000 0.3319 0.0000  8 In 3.40-3.50, 4 Pb 3.46-3.47
Pb 0.0000 0.5000 0.5000  8 In 3.43-3.49, 4 Pb 3.47

## Properties
ΔE_f	-0.18	eV per formula unit



2.
Na3In2Pb3 after structural relaxation, computed with GGA-PBE.

Lattice parameters (Å, degrees): 5.0893 12.3744 15.4183 90.00 90.00 90.00
Last column: nearest neighbours and their distance in Å.
Space group Cmcm (No. 63)
One atom of each set of equivalent atoms:
Na 0.0000 0.0726 0.1072  6 Pb 3.32-3.72, 3 In 3.49-3.64, 1 Na 3.54
Na 0.0000 0.2963 0.2500  4 Pb 3.12-3.47
In 0.0000 0.2356 0.5890  4 Pb 3.11-3.22
Pb 0.0000 0.3942 0.7500  2 In 3.16, 6 Na 3.39-3.47
Pb 0.0000 0.4069 0.0680  3 In 3.11-3.22, 1 Pb 3.12, 3 Na 3.12-3.32

## Properties
ΔE to the lowest computed polymorph	16.8	meV/atom
ΔE_f	-0.78	eV per formula unit